(1)
Below is crystalline TaTlCuTe3 at its relaxed geometry, with properties calculated at the PBE level.

Cell: 8.168 8.168 10.551 Å, 90.00 90.00 152.44°
Positions (direct):
1 Ta 0.000 0.000 0.000
2 Ta 0.000 0.000 0.500
3 Tl 0.246 0.754 0.750
4 Tl 0.754 0.246 0.250
5 Cu 0.463 0.537 0.250
6 Cu 0.537 0.463 0.750
7 Te 0.072 0.928 0.250
8 Te 0.373 0.627 0.047
9 Te 0.373 0.627 0.453
10 Te 0.627 0.373 0.547
11 Te 0.627 0.373 0.953
12 Te 0.928 0.072 0.750

Properties
M_tot	0.92	μB/cell
final energy	-4.741	eV/atom

---

(2)
Below is crystalline Sc2GaSnPt4 at its relaxed geometry, with properties calculated at the PBE level.

Cell: 7.300 5.951 5.951 Å, 33.83 90.00 90.00°
Positions (direct):
1 Sc 0.000 0.000 0.000
2 Sc 0.500 0.056 0.056
3 Ga 0.500 0.781 0.781
4 Sn 0.000 0.274 0.274
5 Pt 0.209 0.645 0.645
6 Pt 0.306 0.404 0.404
7 Pt 0.694 0.404 0.404
8 Pt 0.791 0.645 0.645

Properties
M_tot	0.01	μB/cell
final energy	-6.451	eV/atom

---

(3)
Below is crystalline HfGeMo2 at its relaxed geometry, with properties calculated at the PBE level.

Cell: 4.555 4.555 4.555 Å, 60.00 60.00 60.00°
Positions (direct):
1 Hf 0.000 0.000 0.000
2 Ge 0.750 0.750 0.750
3 Mo 0.250 0.250 0.250
4 Mo 0.500 0.500 0.500

Properties
M_tot	0.00	μB/cell
final energy	-9.059	eV/atom

---

(4)
Below is crystalline HoMg at its relaxed geometry, with properties calculated at the PBE level.

Cell: 5.492 10.241 5.814 Å, 90.00 90.00 90.00°
Positions (direct):
1 Ho 0.000 0.074 0.000
2 Ho 0.000 0.262 0.519
3 Ho 0.000 0.738 0.019
4 Ho 0.000 0.926 0.500
5 Ho 0.500 0.255 0.163
6 Ho 0.500 0.745 0.663
7 Mg 0.000 0.418 0.006
8 Mg 0.000 0.582 0.506
9 Mg 0.500 0.086 0.657
10 Mg 0.500 0.420 0.677
11 Mg 0.500 0.580 0.177
12 Mg 0.500 0.914 0.157

Properties
M_tot	0.03	μB/cell
final energy	-3.041	eV/atom

---

(5)
Below is crystalline LaNdNi2As2 at its relaxed geometry, with properties calculated at the PBE level.

Cell: 4.153 4.153 8.152 Å, 90.00 90.00 120.00°
Positions (direct):
1 La 0.000 0.000 0.000
2 Nd 0.000 0.000 0.500
3 Ni 0.333 0.667 0.749
4 Ni 0.667 0.333 0.251
5 As 0.333 0.667 0.253
6 As 0.667 0.333 0.747

Properties
M_tot	0.00	μB/cell
final energy	-6.091	eV/atom

---

(6)
Below is crystalline TmInNiTe3 at its relaxed geometry, with properties calculated at the PBE level.

Cell: 8.905 4.090 10.615 Å, 90.00 111.17 90.00°
Positions (direct):
1 Tm 0.193 0.250 0.154
2 Tm 0.807 0.750 0.846
3 In 0.243 0.750 0.704
4 In 0.757 0.250 0.296
5 Ni 0.410 0.750 0.392
6 Ni 0.590 0.250 0.608
7 Te 0.063 0.250 0.850
8 Te 0.293 0.250 0.465
9 Te 0.447 0.750 0.166
10 Te 0.553 0.250 0.834
11 Te 0.707 0.750 0.535
12 Te 0.937 0.750 0.150

Properties
M_tot	0.00	μB/cell
final energy	-4.322	eV/atom
energy above the lowest structure with this stoichiometry	0.042	eV/f.u.

---

(7)
Below is crystalline GdTl3 at its relaxed geometry, with properties calculated at the PBE level.

Cell: 4.758 4.758 4.758 Å, 90.00 90.00 90.00°
Positions (direct):
1 Gd 0.000 0.000 0.000
2 Tl 0.000 0.500 0.500
3 Tl 0.500 0.000 0.500
4 Tl 0.500 0.500 0.000

Properties
M_tot	0.00	μB/cell
final energy	-3.186	eV/atom

---

(8)
Below is crystalline LiBeFeSb at its relaxed geometry, with properties calculated at the PBE level.

Cell: 4.161 4.161 4.161 Å, 60.00 60.00 60.00°
Positions (direct):
1 Li 0.000 0.000 0.000
2 Be 0.500 0.500 0.500
3 Fe 0.250 0.250 0.250
4 Sb 0.750 0.750 0.750

Properties
M_tot	1.97	μB/cell
final energy	-4.224	eV/atom
energy above the lowest structure with this stoichiometry	0.861	eV/f.u.

---

(9)
Below is crystalline SrAgTe2 at its relaxed geometry, with properties calculated at the PBE level.

Cell: 5.463 5.463 5.463 Å, 60.00 60.00 60.00°
Positions (direct):
1 Sr 0.000 0.000 0.000
2 Ag 0.250 0.250 0.250
3 Te 0.500 0.500 0.500
4 Te 0.750 0.750 0.750

Properties
final energy	-3.067	eV/atom

---

(10)
Below is crystalline LiTmFe at its relaxed geometry, with properties calculated at the PBE level.

Cell: 4.444 4.444 4.444 Å, 60.00 60.00 60.00°
Positions (direct):
1 Li 0.000 0.000 0.000
2 Tm 0.500 0.500 0.500
3 Fe 0.250 0.250 0.250

Properties
M_tot	1.72	μB/cell
final energy	-4.298	eV/atom
energy above the lowest structure with this stoichiometry	0.000	eV/f.u.

---

(11)
Below is crystalline MgHgTeO at its relaxed geometry, with properties calculated at the PBE level.

Cell: 4.073 4.073 12.341 Å, 90.00 90.00 120.00°
Positions (direct):
1 Mg 0.000 0.000 0.000
2 Mg 0.000 0.000 0.500
3 Hg 0.333 0.667 0.293
4 Hg 0.667 0.333 0.793
5 Te 0.333 0.667 0.619
6 Te 0.667 0.333 0.119
7 O 0.000 0.000 0.345
8 O 0.000 0.000 0.845

Properties
final energy	-3.078	eV/atom
energy above the lowest structure with this stoichiometry	2.209	eV/f.u.

---

(12)
Below is crystalline SrNiB4 at its relaxed geometry, with properties calculated at the PBE level.

Cell: 5.131 5.131 5.131 Å, 145.85 115.85 74.72°
Positions (direct):
1 Sr 0.000 0.000 0.000
2 Ni 0.500 0.500 0.000
3 B 0.102 0.759 0.343
4 B 0.416 0.759 0.657
5 B 0.584 0.241 0.343
6 B 0.898 0.241 0.657

Properties
M_tot	0.01	μB/cell
final energy	-5.344	eV/atom
energy above the lowest structure with this stoichiometry	1.453	eV/f.u.

---

(13)
Below is crystalline Zr5Pa at its relaxed geometry, with properties calculated at the PBE level.

Cell: 5.545 5.545 5.339 Å, 90.00 90.00 120.00°
Positions (direct):
1 Zr 0.000 0.345 0.000
2 Zr 0.333 0.667 0.500
3 Zr 0.345 0.000 0.000
4 Zr 0.655 0.655 0.000
5 Zr 0.667 0.333 0.500
6 Pa 0.000 0.000 0.500

Properties
M_tot	0.05	μB/cell
final energy	-8.622	eV/atom
E_form	0.083	eV per atom

---

(14)
Below is crystalline HfZr3Sn2B2 at its relaxed geometry, with properties calculated at the PBE level.

Cell: 3.467 3.467 14.847 Å, 90.00 90.00 120.00°
Positions (direct):
1 Hf 0.000 0.000 0.000
2 Zr 0.000 0.000 0.673
3 Zr 0.667 0.333 0.172
4 Zr 0.667 0.333 0.499
5 Sn 0.000 0.000 0.335
6 Sn 0.667 0.333 0.837
7 B 0.333 0.667 0.084
8 B 0.333 0.667 0.586

Properties
M_tot	0.00	μB/cell
final energy	-7.723	eV/atom

---

(15)
Below is crystalline SmIrPt at its relaxed geometry, with properties calculated at the PBE level.

Cell: 4.576 4.576 4.576 Å, 60.00 60.00 60.00°
Positions (direct):
1 Sm 0.000 0.000 0.000
2 Ir 0.250 0.250 0.250
3 Pt 0.500 0.500 0.500

Properties
M_tot	0.76	μB/cell
final energy	-6.766	eV/atom
energy above the lowest structure with this stoichiometry	0.000	eV/f.u.
E_form	-0.226	eV per atom

---

(16)
Below is crystalline FeP2Pd at its relaxed geometry, with properties calculated at the PBE level.

Cell: 6.294 6.294 6.294 Å, 131.33 131.33 71.30°
Positions (direct):
1 Fe 0.000 0.000 0.000
2 Fe 0.750 0.250 0.500
3 P 0.089 0.125 0.464
4 P 0.375 0.911 0.036
5 P 0.661 0.625 0.536
6 P 0.875 0.339 0.964
7 Pd 0.250 0.750 0.500
8 Pd 0.500 0.500 0.000

Properties
M_tot	0.02	μB/cell
final energy	-6.208	eV/atom

---

(17)
Below is crystalline NpCo3 at its relaxed geometry, with properties calculated at the PBE level.

Cell: 4.549 4.549 4.549 Å, 132.19 132.19 69.93°
Positions (direct):
1 Np 0.000 0.000 0.000
2 Co 0.250 0.750 0.500
3 Co 0.500 0.500 0.000
4 Co 0.750 0.250 0.500

Properties
M_tot	0.12	μB/cell
final energy	-8.453	eV/atom
E_form	0.069	eV per atom

---

(18)
Below is crystalline LuCdInTe3 at its relaxed geometry, with properties calculated at the PBE level.

Cell: 11.647 4.425 15.073 Å, 90.00 90.00 90.00°
Positions (direct):
1 Lu 0.021 0.250 0.243
2 Lu 0.479 0.750 0.743
3 Lu 0.521 0.250 0.257
4 Lu 0.979 0.750 0.757
5 Cd 0.237 0.250 0.716
6 Cd 0.263 0.750 0.216
7 Cd 0.737 0.250 0.784
8 Cd 0.763 0.750 0.284
9 In 0.213 0.750 0.510
10 In 0.287 0.250 0.010
11 In 0.713 0.750 0.990
12 In 0.787 0.250 0.490
13 Te 0.028 0.250 0.620
14 Te 0.068 0.750 0.108
15 Te 0.231 0.750 0.835
16 Te 0.269 0.250 0.335
17 Te 0.432 0.250 0.608
18 Te 0.472 0.750 0.120
19 Te 0.528 0.250 0.880
20 Te 0.568 0.750 0.392
21 Te 0.731 0.750 0.665
22 Te 0.769 0.250 0.165
23 Te 0.932 0.250 0.892
24 Te 0.972 0.750 0.380

Properties
M_tot	0.02	μB/cell
final energy	-3.649	eV/atom
energy above the lowest structure with this stoichiometry	0.013	eV/f.u.

---

(19)
Below is crystalline Sr3ReN4 at its relaxed geometry, with properties calculated at the PBE level.

Cell: 7.885 7.027 5.679 Å, 90.00 90.00 90.00°
Positions (direct):
1 Sr 0.000 0.146 0.000
2 Sr 0.246 0.340 0.505
3 Sr 0.254 0.660 0.005
4 Sr 0.500 0.854 0.500
5 Sr 0.746 0.660 0.005
6 Sr 0.754 0.340 0.505
7 Re 0.000 0.834 0.464
8 Re 0.500 0.166 0.964
9 N 0.000 0.093 0.537
10 N 0.000 0.823 0.141
11 N 0.196 0.710 0.560
12 N 0.304 0.290 0.060
13 N 0.500 0.177 0.641
14 N 0.500 0.907 0.037
15 N 0.696 0.290 0.060
16 N 0.804 0.710 0.560

Properties
M_tot	2.00	μB/cell
final energy	-7.066	eV/atom

---

(20)
Below is crystalline YCdInTe3 at its relaxed geometry, with properties calculated at the PBE level.

Cell: 13.023 4.548 13.294 Å, 90.00 90.00 90.00°
Positions (direct):
1 Y 0.029 0.250 0.178
2 Y 0.471 0.750 0.678
3 Y 0.529 0.250 0.322
4 Y 0.971 0.750 0.822
5 Cd 0.244 0.750 0.303
6 Cd 0.256 0.250 0.803
7 Cd 0.744 0.750 0.197
8 Cd 0.756 0.250 0.697
9 In 0.168 0.250 0.496
10 In 0.332 0.750 0.996
11 In 0.668 0.250 0.004
12 In 0.832 0.750 0.504
13 Te 0.029 0.750 0.346
14 Te 0.088 0.250 0.936
15 Te 0.234 0.750 0.672
16 Te 0.266 0.250 0.172
17 Te 0.412 0.750 0.436
18 Te 0.471 0.250 0.846
19 Te 0.529 0.750 0.154
20 Te 0.588 0.250 0.564
21 Te 0.734 0.750 0.828
22 Te 0.766 0.250 0.328
23 Te 0.912 0.750 0.064
24 Te 0.971 0.250 0.654

Properties
M_tot	0.01	μB/cell
final energy	-3.966	eV/atom
energy above the lowest structure with this stoichiometry	0.323	eV/f.u.

---

(21)
Below is crystalline LiLaSi2Au at its relaxed geometry, with properties calculated at the PBE level.

Cell: 6.084 6.084 6.084 Å, 139.35 139.35 58.84°
Positions (direct):
1 Li 0.000 0.000 0.000
2 La 0.250 0.750 0.500
3 Si 0.639 0.139 0.500
4 Si 0.861 0.361 0.500
5 Au 0.500 0.500 0.000

Properties
M_tot	0.00	μB/cell
final energy	-4.893	eV/atom

---

(22)
Below is crystalline SrAl5CuNi at its relaxed geometry, with properties calculated at the PBE level.

Cell: 6.400 6.400 6.400 Å, 143.45 111.54 80.19°
Positions (direct):
1 Sr 0.000 0.000 0.000
2 Al 0.158 0.341 0.817
3 Al 0.465 0.657 0.808
4 Al 0.500 0.000 0.500
5 Al 0.524 0.341 0.183
6 Al 0.850 0.657 0.192
7 Cu 0.742 0.242 0.500
8 Ni 0.265 0.765 0.500

Properties
M_tot	0.00	μB/cell
final energy	-4.106	eV/atom